[1]
The following is a DFT calculation (GGA-PBE) of a relaxed Y4TlPd crystal.

For the raw total energy, the calculation gives -5.99 eV per atom. Its density is 6.6 g cm⁻³. The energy above the most stable polymorph in this dataset is 0.000 eV/atom. The formation energy is -418 meV per atom.

It has space group P2_1/m (No. 11), with a = 5.6601 Å, b = 7.0025 Å, c = 8.6318 Å, α = 90.00°, β = 103.01° and γ = 90.00°. The asymmetric unit holds Y at (0.1556, 0.2500, 0.0681), Y at (0.2366, 0.7500, 0.3755), Y at (0.3075, 0.5058, 0.7651), Tl at (0.2096, 0.2500, 0.4330) and Pd at (0.3364, 0.7500, 0.0534).

[2]
The following is a DFT calculation (GGA-PBE) of a relaxed YbTlPd crystal.

For the raw total energy, the calculation gives -3.65 eV per atom. Its density is 11.6 g cm⁻³. The formation energy is -620 meV per atom.

It has space group P-62m (No. 189), with a = 7.8187 Å, b = 7.8187 Å, c = 3.9361 Å, α = 90.00°, β = 90.00° and γ = 120.00°. The asymmetric unit holds Yb at (0.0000, 0.5991, 0.0000), Tl at (0.0000, 0.2664, 0.5000), Pd at (0.0000, 0.0000, 0.0000) and Pd at (0.3333, 0.6667, 0.5000).

[3]
The following is a DFT calculation (GGA-PBE) of a relaxed YbTlPd2 crystal.

For the raw total energy, the calculation gives -4.12 eV per atom. Its density is 12.2 g cm⁻³. The formation energy is -551 meV per atom.

It has space group Fm-3m (No. 225), with a = 6.8521 Å, b = 6.8521 Å, c = 6.8521 Å, α = 90.00°, β = 90.00° and γ = 90.00°. The asymmetric unit holds Yb at (0.0000, 0.0000, 0.0000), Tl at (0.0000, 0.0000, 0.5000) and Pd at (0.2500, 0.2500, 0.2500).

[4]
The following is a DFT calculation (GGA-PBE) of a relaxed TlZn2Pd6 crystal.

For the raw total energy, the calculation gives -4.31 eV per atom. Its density is 11.2 g cm⁻³. The formation energy is -302 meV per atom.

It has space group C2/m (No. 12), with a = 8.7705 Å, b = 3.9435 Å, c = 8.5649 Å, α = 90.00°, β = 103.60° and γ = 90.00°. The asymmetric unit holds Tl at (0.0000, 0.0000, 0.0000), Zn at (0.1955, 0.5000, 0.2559), Pd at (0.0132, 0.0000, 0.3295), Pd at (0.1594, 0.5000, 0.5519) and Pd at (0.1717, 0.5000, 0.8816).

[5]
The following is a DFT calculation (GGA-PBE) of a relaxed TlZn2Pd8 crystal.

For the raw total energy, the calculation gives -4.47 eV per atom. Its density is 11.1 g cm⁻³. The energy above the most stable polymorph in this dataset is 0.054 eV/atom. The formation energy is -246 meV per atom.

It has space group Immm (No. 71), with a = 4.1971 Å, b = 6.8489 Å, c = 12.3899 Å, α = 90.00°, β = 90.00° and γ = 90.00°. The asymmetric unit holds Tl at (0.0000, 0.0000, 0.0000), Zn at (0.0000, 0.0000, 0.3092), Pd at (0.0000, 0.1963, 0.5000), Pd at (0.0000, 0.2820, 0.1618) and Pd at (0.0000, 0.5000, 0.3458).

[6]
The following is a DFT calculation (GGA-PBE) of a relaxed TlZnPd2 crystal.

For the raw total energy, the calculation gives -3.72 eV per atom. Its density is 10.6 g cm⁻³. The formation energy is -214 meV per atom.

It has space group R3m (No. 160, hexagonal axes), with a = 4.0790 Å, b = 4.0790 Å, c = 15.7452 Å, α = 90.00°, β = 90.00° and γ = 120.00°. The asymmetric unit holds Tl at (0.0000, 0.0000, 0.0000), Zn at (0.0000, 0.0000, 0.1792), Pd at (0.0000, 0.0000, 0.5694) and Pd at (0.0000, 0.0000, 0.7767).

[7]
The following is a DFT calculation (GGA-PBE) of a relaxed TlZnPd2 crystal.

For the raw total energy, the calculation gives -3.80 eV per atom. Its density is 11.8 g cm⁻³. The formation energy is -293 meV per atom.

It has space group P4/mmm (No. 123), with a = 3.0778 Å, b = 3.0778 Å, c = 7.1830 Å, α = 90.00°, β = 90.00° and γ = 90.00°. The asymmetric unit holds Tl at (0.0000, 0.0000, 0.0000), Zn at (0.0000, 0.0000, 0.5000) and Pd at (0.5000, 0.5000, 0.2876).

[8]
The following is a DFT calculation (GGA-PBE) of a relaxed TlZnPd2 crystal.

For the raw total energy, the calculation gives -3.75 eV per atom. Its density is 11.8 g cm⁻³. The formation energy is -245 meV per atom.

It has space group P4/mmm (No. 123), with a = 4.1752 Å, b = 4.1752 Å, c = 3.8839 Å, α = 90.00°, β = 90.00° and γ = 90.00°. The asymmetric unit holds Tl at (0.0000, 0.0000, 0.0000), Zn at (0.5000, 0.5000, 0.0000) and Pd at (0.0000, 0.5000, 0.5000).

[9]
The following is a DFT calculation (GGA-PBE) of a relaxed TlZn2Pd crystal.

For the raw total energy, the calculation gives -2.53 eV per atom. Its density is 10.4 g cm⁻³. The energy above the most stable polymorph in this dataset is 0.000 eV/atom. The formation energy is 2 meV per atom.

It has space group Fm-3m (No. 225), with a = 6.5566 Å, b = 6.5566 Å, c = 6.5566 Å, α = 90.00°, β = 90.00° and γ = 90.00°. The asymmetric unit holds Tl at (0.0000, 0.0000, 0.0000), Zn at (0.2500, 0.2500, 0.2500) and Pd at (0.0000, 0.0000, 0.5000).

[10]
The following is a DFT calculation (GGA-PBE) of a relaxed TlZnPd6 crystal.

For the raw total energy, the calculation gives -4.58 eV per atom. Its density is 11.8 g cm⁻³. The energy above the most stable polymorph in this dataset is 0.000 eV/atom. The formation energy is -231 meV per atom.

It has space group P4/mmm (No. 123), with a = 4.0089 Å, b = 4.0089 Å, c = 7.9664 Å, α = 90.00°, β = 90.00° and γ = 90.00°. The asymmetric unit holds Tl at (0.0000, 0.0000, 0.0000), Zn at (0.0000, 0.0000, 0.5000), Pd at (0.0000, 0.5000, 0.2641), Pd at (0.5000, 0.5000, 0.0000) and Pd at (0.5000, 0.5000, 0.5000).

[11]
The following is a DFT calculation (GGA-PBE) of a relaxed TlZn2Pd2 crystal.

For the raw total energy, the calculation gives -3.36 eV per atom. Its density is 10.7 g cm⁻³. The energy above the most stable polymorph in this dataset is 0.000 eV/atom. The formation energy is -299 meV per atom.

It has space group P4/mbm (No. 127), with a = 7.5121 Å, b = 7.5121 Å, c = 3.0258 Å, α = 90.00°, β = 90.00° and γ = 90.00°. The asymmetric unit holds Tl at (0.0000, 0.0000, 0.0000), Zn at (0.1499, 0.3501, 0.5000) and Pd at (0.1428, 0.6428, 0.0000).

[12]
The following is a DFT calculation (GGA-PBE) of a relaxed TlZnPd4 crystal.

For the raw total energy, the calculation gives -4.31 eV per atom. Its density is 11.8 g cm⁻³. The energy above the most stable polymorph in this dataset is 0.012 eV/atom. The formation energy is -244 meV per atom.

It has space group C2/m (No. 12), with a = 4.7824 Å, b = 8.8282 Å, c = 4.7609 Å, α = 90.00°, β = 102.68° and γ = 90.00°. The asymmetric unit holds Tl at (0.0000, 0.0000, 0.0000), Zn at (0.0000, 0.5000, 0.5000), Pd at (0.0000, 0.1652, 0.5000) and Pd at (0.0000, 0.3391, 0.0000).

[13]
The following is a DFT calculation (GGA-PBE) of a relaxed Tl2ZnPd9 crystal.

For the raw total energy, the calculation gives -4.61 eV per atom. Its density is 12.1 g cm⁻³. The formation energy is -216 meV per atom.

It has space group P4/mmm (No. 123), with a = 4.0379 Å, b = 4.0379 Å, c = 12.0234 Å, α = 90.00°, β = 90.00° and γ = 90.00°. The asymmetric unit holds Tl at (0.0000, 0.0000, 0.1723), Zn at (0.0000, 0.0000, 0.5000), Pd at (0.0000, 0.5000, 0.0000), Pd at (0.0000, 0.5000, 0.3456), Pd at (0.5000, 0.5000, 0.1725) and Pd at (0.5000, 0.5000, 0.5000).

[14]
The following is a DFT calculation (GGA-PBE) of a relaxed TlZn2Pd2 crystal.

For the raw total energy, the calculation gives -3.32 eV per atom. Its density is 10.8 g cm⁻³. The energy above the most stable polymorph in this dataset is 0.038 eV/atom. The formation energy is -261 meV per atom.

It has space group P4/mbm (No. 127), with a = 7.5084 Å, b = 7.5084 Å, c = 3.0032 Å, α = 90.00°, β = 90.00° and γ = 90.00°. The asymmetric unit holds Tl at (0.0000, 0.0000, 0.0000), Zn at (0.1327, 0.3673, 0.0000) and Pd at (0.1586, 0.6586, 0.5000).

[15]
The following is a DFT calculation (GGA-PBE) of a relaxed TlZn6Pd12 crystal.

For the raw total energy, the calculation gives -4.00 eV per atom. Its density is 10.0 g cm⁻³. The formation energy is -195 meV per atom.

It has space group R-3m (No. 166, hexagonal axes), with a = 11.4047 Å, b = 11.4047 Å, c = 8.2571 Å, α = 90.00°, β = 90.00° and γ = 120.00°. The asymmetric unit holds Tl at (0.0000, 0.0000, 0.0000), Zn at (0.0977, 0.1954, 0.7445), Pd at (0.0000, 0.2636, 0.0000) and Pd at (0.0978, 0.5489, 0.0968).

[16]
The following is a DFT calculation (GGA-PBE) of a relaxed TlZn2Pd crystal.

For the raw total energy, the calculation gives -2.50 eV per atom. Its density is 9.3 g cm⁻³. The energy above the most stable polymorph in this dataset is 0.027 eV/atom. The formation energy is 28 meV per atom.

It has space group I-42d (No. 122), with a = 4.1157 Å, b = 4.1157 Å, c = 18.7076 Å, α = 90.00°, β = 90.00° and γ = 90.00°. The asymmetric unit holds Tl at (0.0000, 0.0000, 0.0000), Zn at (0.1933, 0.2500, 0.6250) and Pd at (0.0000, 0.0000, 0.5000).

[17]
The following is a DFT calculation (GGA-PBE) of a relaxed Tl2ZnPd crystal.

For the raw total energy, the calculation gives -2.65 eV per atom. Its density is 10.3 g cm⁻³. The energy above the most stable polymorph in this dataset is 0.079 eV/atom. The formation energy is 150 meV per atom.

It has space group I-42d (No. 122), with a = 7.8954 Å, b = 7.8954 Å, c = 6.0060 Å, α = 90.00°, β = 90.00° and γ = 90.00°. The asymmetric unit holds Tl at (0.2353, 0.2500, 0.1250), Zn at (0.0000, 0.0000, 0.5000) and Pd at (0.0000, 0.0000, 0.0000).

[18]
The following is a DFT calculation (GGA-PBE) of a relaxed TlZn3Pd12 crystal.

For the raw total energy, the calculation gives -4.54 eV per atom. Its density is 11.2 g cm⁻³. The formation energy is -263 meV per atom.

It has space group P4/mmm (No. 123), with a = 3.9723 Å, b = 3.9723 Å, c = 15.7149 Å, α = 90.00°, β = 90.00° and γ = 90.00°. The asymmetric unit holds Tl at (0.0000, 0.0000, 0.0000), Zn at (0.0000, 0.0000, 0.2561), Zn at (0.0000, 0.0000, 0.5000), Pd at (0.0000, 0.5000, 0.1358), Pd at (0.0000, 0.5000, 0.3786), Pd at (0.5000, 0.5000, 0.0000), Pd at (0.5000, 0.5000, 0.2576) and Pd at (0.5000, 0.5000, 0.5000).

[19]
The following is a DFT calculation (GGA-PBE) of a relaxed TlZn2Pd5 crystal.

For the raw total energy, the calculation gives -4.27 eV per atom. Its density is 11.5 g cm⁻³. The formation energy is -406 meV per atom.

It has space group I4/mmm (No. 139), with a = 4.1629 Å, b = 4.1629 Å, c = 14.5141 Å, α = 90.00°, β = 90.00° and γ = 90.00°. The asymmetric unit holds Tl at (0.0000, 0.0000, 0.0000), Zn at (0.0000, 0.0000, 0.2517), Pd at (0.0000, 0.0000, 0.5000) and Pd at (0.0000, 0.5000, 0.1391).

[20]
The following is a DFT calculation (GGA-PBE) of a relaxed Tl2ZnPd crystal.

For the raw total energy, the calculation gives -2.73 eV per atom. Its density is 11.2 g cm⁻³. The energy above the most stable polymorph in this dataset is 0.000 eV/atom. The formation energy is 71 meV per atom.

It has space group Fm-3m (No. 225), with a = 7.0107 Å, b = 7.0107 Å, c = 7.0107 Å, α = 90.00°, β = 90.00° and γ = 90.00°. The asymmetric unit holds Tl at (0.2500, 0.2500, 0.2500), Zn at (0.0000, 0.0000, 0.0000) and Pd at (0.0000, 0.0000, 0.5000).